AlCuGe3 after structural relaxation, computed with PBE-GGA.

- Energy of formation from the pure elements: 0.533 eV/atom
- DOS(E_F): 1.96 states/eV per cell
- Calculated volume: 20.985 A^3/atom
- Calculated density: 4.9 g cm⁻³
- ΔE to the lowest computed polymorph: 0.000 eV/atom
- Total moment: 0.000 μB/atom

Cell and atoms, written as extended XYZ:
```
5
Lattice="4.717 0.000 0.000 0.000 4.717 0.000 0.000 0.000 4.717" Properties=species:S:1:pos:R:3 pbc="T T T"
Al 0.000 0.000 0.000
Cu 2.358 2.358 2.358
Ge 0.000 2.358 2.358
Ge 2.358 0.000 2.358
Ge 2.358 2.358 0.000
```